Record 1
First-principles (PBEsol) data for an optimized crystal structure of Ta2TcRu, as listed in the Alexandria database.

## Properties
Calculated formation energy in meV per atom: -137.4

Cell: 2.789 5.110 5.110 Å, 113.41 101.43 101.43°
Positions (direct):
Ta 0.000 0.500 0.000
Ta 0.000 0.000 0.500
Ru 0.500 0.500 0.500
Tc 0.500 0.000 0.000


Record 2
First-principles (PBEsol) data for an optimized crystal structure of TcBi3S, as listed in the Alexandria database.

Cell: 5.214 5.214 5.214 Å, 90.00 90.00 90.00°
Positions (direct):
Bi 0.000 0.500 0.000
Bi 0.500 0.000 0.000
Bi 0.000 0.000 0.500
S 0.000 0.000 0.000
Tc 0.500 0.500 0.500


Record 3
First-principles (PBEsol) data for an optimized crystal structure of YMg4, as listed in the Alexandria database.

## Properties
Calculated formation energy in meV per atom: -17.3

Cell: 4.924 5.528 5.528 Å, 78.56 63.56 63.56°
Positions (direct):
Y 0.000 0.000 0.000
Mg 0.427 0.772 0.374
Mg 0.801 0.626 0.772
Mg 0.573 0.228 0.626
Mg 0.199 0.374 0.228


Record 4
First-principles (PBEsol) data for an optimized crystal structure of Zr5Ru, as listed in the Alexandria database.

## Properties
Calculated formation energy in meV per atom: -185.0
Energy relative to the lowest polymorph listed for this composition in meV/atom: 0

Cell: 3.227 3.227 11.693 Å, 90.00 90.00 90.00°
Positions (direct):
Zr 0.000 0.000 0.500
Zr 0.500 0.500 0.316
Zr 0.000 0.000 0.863
Zr 0.000 0.000 0.137
Zr 0.500 0.500 0.684
Ru 0.500 0.500 0.000


Total energy? In order: -11.7726 -4.5748 -2.7554 -9.4553 eV per atom.